# K2CeCl5

A relaxed structure of K2CeCl5 (GGA-PBEsol, Alexandria via LeMat-Bulk).

Calculated values
Total magnetization, μB/f.u.: 1.00
Uncorrected formation energy, eV per atom: -2.0989

```
data_K2CeCl5
_chemical_formula_sum 'K8 Ce4 Cl20'
_cell_length_a 12.655
_cell_length_b 8.681
_cell_length_c 7.950
_cell_angle_alpha 90.00
_cell_angle_beta 90.00
_cell_angle_gamma 90.00
_space_group_name_H-M_alt 'P n m a'
_space_group_IT_number 62
_space_group_name_Hall '-P 2ac 2n'
loop_
_atom_site_label
_atom_site_fract_x
_atom_site_fract_y
_atom_site_fract_z
K1 0.172 0.004 0.047
Ce1 0.005 0.250 0.576
Cl1 0.007 0.250 0.926
Cl2 0.081 0.543 0.664
Cl3 0.179 0.250 0.367
Cl4 0.207 0.750 0.331
```

# InOsO2

A relaxed structure of InOsO2 (GGA-PBEsol, Alexandria via LeMat-Bulk).

Calculated values
Total magnetization, μB/f.u.: 0.54
Uncorrected formation energy, eV per atom: -0.4839

```
data_InOsO2
_chemical_formula_sum 'In3 Os3 O6'
_cell_length_a 3.0317
_cell_length_b 3.0317
_cell_length_c 19.4037
_cell_angle_alpha 90.00
_cell_angle_beta 90.00
_cell_angle_gamma 120.00
_space_group_name_H-M_alt 'R -3 m'
_space_group_IT_number 166
_space_group_name_Hall '-R 3 2"'
loop_
_atom_site_label
_atom_site_fract_x
_atom_site_fract_y
_atom_site_fract_z
In1 0.0000 0.0000 0.0000
Os1 0.0000 0.0000 0.5000
O1 0.0000 0.0000 0.3966
```

# MgP2

A relaxed structure of MgP2 (GGA-PBEsol, Alexandria via LeMat-Bulk).

Calculated values
Total magnetization, μB/f.u.: 0.00
Formation energy from the elements, meV/atom: -153

```
data_MgP2
_chemical_formula_sum 'Mg4 P8'
_cell_length_a 12.618
_cell_length_b 3.224
_cell_length_c 5.652
_cell_angle_alpha 90.00
_cell_angle_beta 97.36
_cell_angle_gamma 90.00
_space_group_name_H-M_alt 'C 1 2/m 1'
_space_group_IT_number 12
_space_group_name_Hall '-C 2y'
loop_
_atom_site_label
_atom_site_fract_x
_atom_site_fract_y
_atom_site_fract_z
Mg1 0.089 0.000 0.327
P1 0.083 0.500 0.704
P2 0.187 0.500 0.035
```

# NbSnBi3

A relaxed structure of NbSnBi3 (GGA-PBEsol, Alexandria via LeMat-Bulk).

Calculated values
Total magnetization, μB/f.u.: 0.00
Formation energy from the elements, meV/atom: 517

```
data_NbSnBi3
_chemical_formula_sum 'Nb1 Sn1 Bi3'
_cell_length_a 5.448
_cell_length_b 5.448
_cell_length_c 5.448
_cell_angle_alpha 90.00
_cell_angle_beta 90.00
_cell_angle_gamma 90.00
_space_group_name_H-M_alt 'P m -3 m'
_space_group_IT_number 221
_space_group_name_Hall '-P 4 2 3'
loop_
_atom_site_label
_atom_site_fract_x
_atom_site_fract_y
_atom_site_fract_z
Nb1 0.000 0.000 0.000
Sn1 0.500 0.500 0.500
Bi1 0.000 0.000 0.500
```

# ZnCu2Rh

A relaxed structure of ZnCu2Rh (GGA-PBEsol, Alexandria via LeMat-Bulk).

Calculated values
Total magnetization, μB/f.u.: 0.00
Formation energy from the elements, meV/atom: -132

```
data_ZnCu2Rh
_chemical_formula_sum 'Zn2 Cu4 Rh2'
_cell_length_a 3.816
_cell_length_b 3.816
_cell_length_c 6.795
_cell_angle_alpha 90.00
_cell_angle_beta 90.00
_cell_angle_gamma 90.00
_space_group_name_H-M_alt 'I -4 m 2'
_space_group_IT_number 119
_space_group_name_Hall 'I -4 -2'
loop_
_atom_site_label
_atom_site_fract_x
_atom_site_fract_y
_atom_site_fract_z
Zn1 0.000 0.000 0.000
Cu1 0.000 0.000 0.500
Cu2 0.000 0.500 0.250
Rh1 0.000 0.500 0.750
```

# LiMg2As

A relaxed structure of LiMg2As (GGA-PBEsol, Alexandria via LeMat-Bulk).

Calculated values
Total magnetization, μB/f.u.: 0.00
Formation energy from the elements, meV/atom: -210

```
data_LiMg2As
_chemical_formula_sum 'Li4 Mg8 As4'
_cell_length_a 6.762
_cell_length_b 6.762
_cell_length_c 6.762
_cell_angle_alpha 90.00
_cell_angle_beta 90.00
_cell_angle_gamma 90.00
_space_group_name_H-M_alt 'F -4 3 m'
_space_group_IT_number 216
_space_group_name_Hall 'F -4 2 3'
loop_
_atom_site_label
_atom_site_fract_x
_atom_site_fract_y
_atom_site_fract_z
Li1 0.000 0.000 0.000
Mg1 0.000 0.000 0.500
Mg2 0.250 0.250 0.250
As1 0.250 0.250 0.750
```

# LiCo2Ir

A relaxed structure of LiCo2Ir (GGA-PBEsol, Alexandria via LeMat-Bulk).

Calculated values
Total magnetization, μB/f.u.: 0.00
Formation energy from the elements, meV/atom: 203

```
data_LiCo2Ir
_chemical_formula_sum 'Li1 Co2 Ir1'
_cell_length_a 2.613
_cell_length_b 2.613
_cell_length_c 6.746
_cell_angle_alpha 90.00
_cell_angle_beta 90.00
_cell_angle_gamma 90.00
_space_group_name_H-M_alt 'P 4/m m m'
_space_group_IT_number 123
_space_group_name_Hall '-P 4 2'
loop_
_atom_site_label
_atom_site_fract_x
_atom_site_fract_y
_atom_site_fract_z
Li1 0.000 0.000 0.000
Co1 0.500 0.500 0.250
Ir1 0.000 0.000 0.500
```

# Mg3PtBr

A relaxed structure of Mg3PtBr (GGA-PBEsol, Alexandria via LeMat-Bulk).

Calculated values
Total magnetization, μB/f.u.: 0.00
Uncorrected formation energy, eV per atom: 0.4188

```
data_Mg3PtBr
_chemical_formula_sum 'Mg3 Pt1 Br1'
_cell_length_a 4.836
_cell_length_b 4.836
_cell_length_c 4.836
_cell_angle_alpha 90.00
_cell_angle_beta 90.00
_cell_angle_gamma 90.00
_space_group_name_H-M_alt 'P m -3 m'
_space_group_IT_number 221
_space_group_name_Hall '-P 4 2 3'
loop_
_atom_site_label
_atom_site_fract_x
_atom_site_fract_y
_atom_site_fract_z
Mg1 0.000 0.000 0.500
Pt1 0.500 0.500 0.500
Br1 0.000 0.000 0.000
```

# Ta2RuAu

A relaxed structure of Ta2RuAu (GGA-PBEsol, Alexandria via LeMat-Bulk).

Calculated values
Offset from the most stable computed form, meV/atom: 30
Total magnetization, μB/f.u.: 0.00
Formation energy from the elements, meV/atom: -161

```
data_Ta2RuAu
_chemical_formula_sum 'Ta2 Ru1 Au1'
_cell_length_a 2.916
_cell_length_b 2.916
_cell_length_c 7.657
_cell_angle_alpha 90.00
_cell_angle_beta 90.00
_cell_angle_gamma 90.00
_space_group_name_H-M_alt 'P 4/m m m'
_space_group_IT_number 123
_space_group_name_Hall '-P 4 2'
loop_
_atom_site_label
_atom_site_fract_x
_atom_site_fract_y
_atom_site_fract_z
Ta1 0.000 0.000 0.229
Ru1 0.500 0.500 0.000
Au1 0.500 0.500 0.500
```

# Ir2RuPt

A relaxed structure of Ir2RuPt (GGA-PBEsol, Alexandria via LeMat-Bulk).

Calculated values
Offset from the most stable computed form, meV/atom: 11
Total magnetization, μB/f.u.: 0.00
Formation energy from the elements, meV/atom: 6

```
data_Ir2RuPt
_chemical_formula_sum 'Ir2 Ru1 Pt1'
_cell_length_a 2.708
_cell_length_b 3.825
_cell_length_c 5.433
_cell_angle_alpha 90.00
_cell_angle_beta 90.00
_cell_angle_gamma 90.00
_space_group_name_H-M_alt 'P m m m'
_space_group_IT_number 47
_space_group_name_Hall '-P 2 2'
loop_
_atom_site_label
_atom_site_fract_x
_atom_site_fract_y
_atom_site_fract_z
Ir1 0.000 0.000 0.242
Ru1 0.500 0.500 0.000
Pt1 0.500 0.500 0.500
```

# Y2CuRh

A relaxed structure of Y2CuRh (GGA-PBEsol, Alexandria via LeMat-Bulk).

Calculated values
Total magnetization, μB/f.u.: 0.00
Formation energy from the elements, meV/atom: -522

```
data_Y2CuRh
_chemical_formula_sum 'Y8 Cu4 Rh4'
_cell_length_a 6.803
_cell_length_b 6.803
_cell_length_c 6.803
_cell_angle_alpha 90.00
_cell_angle_beta 90.00
_cell_angle_gamma 90.00
_space_group_name_H-M_alt 'F m -3 m'
_space_group_IT_number 225
_space_group_name_Hall '-F 4 2 3'
loop_
_atom_site_label
_atom_site_fract_x
_atom_site_fract_y
_atom_site_fract_z
Y1 0.250 0.250 0.250
Cu1 0.000 0.000 0.000
Rh1 0.000 0.000 0.500
```

# La2AsH

A relaxed structure of La2AsH (GGA-PBEsol, Alexandria via LeMat-Bulk).

Calculated values
Total magnetization, μB/f.u.: 0.00
Final energy, eV per atom: -5.639

```
data_La2AsH
_chemical_formula_sum 'La8 As4 H4'
_cell_length_a 7.121
_cell_length_b 7.121
_cell_length_c 7.117
_cell_angle_alpha 90.00
_cell_angle_beta 90.00
_cell_angle_gamma 90.00
_space_group_name_H-M_alt 'I -4 2 d'
_space_group_IT_number 122
_space_group_name_Hall 'I -4 2bw'
loop_
_atom_site_label
_atom_site_fract_x
_atom_site_fract_y
_atom_site_fract_z
La1 0.185 0.250 0.125
As1 0.000 0.000 0.500
H1 0.000 0.000 0.000
```

# BaPtBr2

A relaxed structure of BaPtBr2 (GGA-PBEsol, Alexandria via LeMat-Bulk).

Calculated values
Offset from the most stable computed form, meV/atom: 0
Total magnetization, μB/f.u.: 0.00
Uncorrected formation energy, eV per atom: -0.7505

```
data_BaPtBr2
_chemical_formula_sum 'Ba3 Pt3 Br6'
_cell_length_a 4.8131
_cell_length_b 4.8131
_cell_length_c 15.4886
_cell_angle_alpha 90.00
_cell_angle_beta 90.00
_cell_angle_gamma 120.00
_space_group_name_H-M_alt 'R -3 m'
_space_group_IT_number 166
_space_group_name_Hall '-R 3 2"'
loop_
_atom_site_label
_atom_site_fract_x
_atom_site_fract_y
_atom_site_fract_z
Ba1 0.0000 0.0000 0.0000
Pt1 0.0000 0.0000 0.5000
Br1 0.0000 0.0000 0.2301
```

# BaNiRh2

A relaxed structure of BaNiRh2 (GGA-PBEsol, Alexandria via LeMat-Bulk).

Calculated values
Total magnetization, μB/f.u.: 1.13
Formation energy from the elements, meV/atom: 24

```
data_BaNiRh2
_chemical_formula_sum 'Ba3 Ni3 Rh6'
_cell_length_a 4.2865
_cell_length_b 4.2865
_cell_length_c 16.3132
_cell_angle_alpha 90.00
_cell_angle_beta 90.00
_cell_angle_gamma 120.00
_space_group_name_H-M_alt 'R 3 m'
_space_group_IT_number 160
_space_group_name_Hall 'R 3 -2"'
loop_
_atom_site_label
_atom_site_fract_x
_atom_site_fract_y
_atom_site_fract_z
Ba1 0.0000 0.0000 0.0000
Ni1 0.0000 0.0000 0.8170
Rh1 0.0000 0.0000 0.1848
Rh2 0.0000 0.0000 0.5008
```

# La2Al2I

A relaxed structure of La2Al2I (GGA-PBEsol, Alexandria via LeMat-Bulk).

Calculated values
Total magnetization, μB/f.u.: 0.00
Uncorrected formation energy, eV per atom: -0.7949

```
data_La2Al2I
_chemical_formula_sum 'La4 Al4 I2'
_cell_length_a 4.3593
_cell_length_b 4.3593
_cell_length_c 17.2350
_cell_angle_alpha 90.00
_cell_angle_beta 90.00
_cell_angle_gamma 120.00
_space_group_name_H-M_alt 'P 63/m m c'
_space_group_IT_number 194
_space_group_name_Hall '-P 6c 2c'
loop_
_atom_site_label
_atom_site_fract_x
_atom_site_fract_y
_atom_site_fract_z
La1 0.0000 0.0000 0.1215
Al1 0.3333 0.6667 0.0062
I1 0.3333 0.6667 0.7500
```

# LaZn3N

A relaxed structure of LaZn3N (GGA-PBEsol, Alexandria via LeMat-Bulk).

Calculated values
Total magnetization, μB/f.u.: 0.00
Uncorrected formation energy, eV per atom: 0.3904

```
data_LaZn3N
_chemical_formula_sum 'La1 Zn3 N1'
_cell_length_a 4.435
_cell_length_b 4.435
_cell_length_c 4.435
_cell_angle_alpha 90.00
_cell_angle_beta 90.00
_cell_angle_gamma 90.00
_space_group_name_H-M_alt 'P m -3 m'
_space_group_IT_number 221
_space_group_name_Hall '-P 4 2 3'
loop_
_atom_site_label
_atom_site_fract_x
_atom_site_fract_y
_atom_site_fract_z
La1 0.000 0.000 0.000
Zn1 0.000 0.500 0.500
N1 0.500 0.500 0.500
```

# BaLiZn

A relaxed structure of BaLiZn (GGA-PBEsol, Alexandria via LeMat-Bulk).

Calculated values
Offset from the most stable computed form, meV/atom: 16
Total magnetization, μB/f.u.: 0.00
Formation energy from the elements, meV/atom: -24

```
data_BaLiZn
_chemical_formula_sum 'Ba2 Li2 Zn2'
_cell_length_a 3.850
_cell_length_b 3.850
_cell_length_c 11.178
_cell_angle_alpha 90.00
_cell_angle_beta 90.00
_cell_angle_gamma 90.00
_space_group_name_H-M_alt 'I 4 m m'
_space_group_IT_number 107
_space_group_name_Hall 'I 4 -2'
loop_
_atom_site_label
_atom_site_fract_x
_atom_site_fract_y
_atom_site_fract_z
Ba1 0.000 0.000 0.000
Li1 0.000 0.000 0.718
Zn1 0.000 0.000 0.313
```

# SrMg2Te

A relaxed structure of SrMg2Te (GGA-PBEsol, Alexandria via LeMat-Bulk).

Calculated values
Total magnetization, μB/f.u.: 0.00
Uncorrected formation energy, eV per atom: -0.4609

```
data_SrMg2Te
_chemical_formula_sum 'Sr2 Mg4 Te2'
_cell_length_a 10.024
_cell_length_b 4.096
_cell_length_c 6.265
_cell_angle_alpha 90.00
_cell_angle_beta 107.43
_cell_angle_gamma 90.00
_space_group_name_H-M_alt 'C 1 m 1'
_space_group_IT_number 8
_space_group_name_Hall 'C -2y'
loop_
_atom_site_label
_atom_site_fract_x
_atom_site_fract_y
_atom_site_fract_z
Sr1 0.000 0.000 0.000
Mg1 0.019 0.500 0.487
Mg2 0.279 0.500 0.363
Te1 0.242 0.000 0.721
```

# Ta5Pb11O26

A relaxed structure of Ta5Pb11O26 (GGA-PBEsol, Alexandria via LeMat-Bulk).

Calculated values
Total magnetization, μB/f.u.: 0.01
Uncorrected formation energy, eV per atom: -1.8340

```
data_Ta5Pb11O26
_chemical_formula_sum 'Ta10 Pb22 O52'
_cell_length_a 13.134
_cell_length_b 7.582
_cell_length_c 13.258
_cell_angle_alpha 90.00
_cell_angle_beta 109.84
_cell_angle_gamma 90.00
_space_group_name_H-M_alt 'C 1 2/m 1'
_space_group_IT_number 12
_space_group_name_Hall '-C 2y'
loop_
_atom_site_label
_atom_site_fract_x
_atom_site_fract_y
_atom_site_fract_z
Ta1 0.000 0.000 0.000
Ta2 0.250 0.250 0.000
Ta3 0.250 0.250 0.500
Pb1 0.000 0.000 0.500
Pb2 0.000 0.500 0.000
Pb3 0.000 0.500 0.500
Pb4 0.003 0.252 0.258
Pb5 0.247 0.000 0.741
Pb6 0.250 0.000 0.246
O1 0.070 0.500 0.201
O2 0.077 0.500 0.671
O3 0.081 0.000 0.156
O4 0.092 0.286 0.466
O5 0.096 0.188 0.976
O6 0.211 0.284 0.843
O7 0.215 0.500 0.020
O8 0.217 0.209 0.344
O9 0.226 0.000 0.527
```

# LaBe2Pt

A relaxed structure of LaBe2Pt (GGA-PBEsol, Alexandria via LeMat-Bulk).

Calculated values
Total magnetization, μB/f.u.: 0.00
Formation energy from the elements, meV/atom: -553

```
data_LaBe2Pt
_chemical_formula_sum 'La3 Be6 Pt3'
_cell_length_a 3.9186
_cell_length_b 3.9186
_cell_length_c 15.3645
_cell_angle_alpha 90.00
_cell_angle_beta 90.00
_cell_angle_gamma 120.00
_space_group_name_H-M_alt 'R -3 m'
_space_group_IT_number 166
_space_group_name_Hall '-R 3 2"'
loop_
_atom_site_label
_atom_site_fract_x
_atom_site_fract_y
_atom_site_fract_z
La1 0.0000 0.0000 0.0000
Be1 0.0000 0.0000 0.1923
Pt1 0.0000 0.0000 0.5000
```